Entry 1:
# SrCd2SnI PBE-GGA optimized geometry
data_SrCd2SnI
_chemical_formula_sum 'Sr1 Cd2 Sn1 I1'
_symmetry_space_group_name_H-M 'P 4/m m m'
_symmetry_Int_Tables_number 123
_symmetry_space_group_name_Hall '-P 4 2'
_cell_length_a 5.6344
_cell_length_b 5.6344
_cell_length_c 6.2881
_cell_angle_alpha 90.00
_cell_angle_beta 90.00
_cell_angle_gamma 90.00
loop_
_atom_site_label
_atom_site_type_symbol
_atom_site_fract_x
_atom_site_fract_y
_atom_site_fract_z
_atom_site_occupancy
Sr1 Sr 0.0000 0.0000 0.0000 1
Cd1 Cd 0.0000 0.5000 0.5000 1
Sn1 Sn 0.5000 0.5000 0.5000 1
I1 I 0.5000 0.5000 0.0000 1
# Raw formation energy = -0.08 eV/atom
# Electronic total energy = -1.89 eV/atom
# Crystal system = tetragonal
# V = 199.6 Å³/cell

Entry 2:
# Cd2TcSnI PBE-GGA optimized geometry
data_Cd2TcSnI
_chemical_formula_sum 'Cd2 Tc1 Sn1 I1'
_symmetry_space_group_name_H-M 'P 4/m m m'
_symmetry_Int_Tables_number 123
_symmetry_space_group_name_Hall '-P 4 2'
_cell_length_a 5.4130
_cell_length_b 5.4130
_cell_length_c 5.0090
_cell_angle_alpha 90.00
_cell_angle_beta 90.00
_cell_angle_gamma 90.00
loop_
_atom_site_label
_atom_site_type_symbol
_atom_site_fract_x
_atom_site_fract_y
_atom_site_fract_z
_atom_site_occupancy
Cd1 Cd 0.0000 0.5000 0.0000 1
Tc1 Tc 0.0000 0.0000 0.0000 1
Sn1 Sn 0.5000 0.5000 0.5000 1
I1 I 0.0000 0.0000 0.5000 1
# Raw formation energy = 0.74 eV/atom
# Electronic total energy = -2.81 eV/atom
# Crystal system = tetragonal
# V = 146.8 Å³/cell